1.
AcSb2PdAu | PBE | relaxed

abc: 4.651 4.651 6.762
angles: 110.12 110.12 90.00
Positions (direct):
Au 0.250 0.750 0.500
Ac 0.000 0.000 0.000
Sb 0.626 0.626 0.252
Sb 0.374 0.374 0.748
Pd 0.750 0.250 0.500

Properties
* V: 127.8 Å³ per cell
* E_tot: -4.812 eV/atom
* spin magnetization: 0.0 μB/f.u.

---

2.
Ag2GeP | PBE | relaxed

abc: 4.671 4.671 4.671
angles: 60.00 60.00 60.00
Positions (direct):
Ag 0.250 0.250 0.250
Ag 0.750 0.750 0.750
Ge 0.500 0.500 0.500
P 0.000 0.000 0.000

Properties
* ΔE_f: 31 kJ/mol of atoms
* V: 72.1 Å³ per cell
* E_tot: -3.610 eV/atom
* spin magnetization: 0.0 μB/f.u.

---

3.
Ce7SnOs4 | PBE | relaxed

abc: 5.803 8.336 7.113
angles: 75.99 65.93 69.63
Last column: magnetic moment on the atom in μB.
Positions (direct):
Os 0.698 0.664 0.939  -0.04
Os 0.438 0.768 0.357  -0.04
Os 0.302 0.336 0.061  -0.04
Os 0.562 0.232 0.643  -0.04
Ce 0.077 0.619 0.227  0.31
Ce 0.804 0.882 0.510  0.42
Ce 0.679 0.370 0.272  0.06
Ce 0.923 0.381 0.773  0.31
Ce 0.500 0.000 0.000  0.00
Ce 0.196 0.118 0.490  0.42
Ce 0.321 0.630 0.728  0.06
Sn 0.000 0.000 0.000  -0.01

Properties
* ΔE_f: -8 kJ/mol of atoms
* V: 292.5 Å³ per cell
* E_tot: -7.617 eV/atom
* spin magnetization: 1.7 μB/f.u.

---

4.
Ta2CdAg | PBE | relaxed

abc: 3.455 3.455 6.348
angles: 90.00 90.00 90.00
Positions (direct):
Cd 0.500 0.500 0.743
Ag 0.000 0.000 0.504
Ta 0.000 0.000 0.023
Ta 0.500 0.500 0.231

Properties
* ΔE_f: 29 kJ/mol of atoms
* V: 75.8 Å³ per cell
* E_tot: -6.572 eV/atom
* spin magnetization: 0.0 μB/f.u.

---

5.
KRb | PBE | relaxed

abc: 9.919 9.919 9.919
angles: 90.00 90.00 90.00
Positions (direct):
Rb 0.000 0.500 0.500
Rb 0.500 0.000 0.500
Rb 0.500 0.500 0.000
Rb 0.000 0.000 0.000
K 0.250 0.750 0.750
K 0.750 0.250 0.750
K 0.750 0.750 0.250
K 0.250 0.250 0.250

Properties
* ΔE_f: 28 kJ/mol of atoms
* V: 975.8 Å³ per cell
* E_tot: -0.747 eV/atom
* E above lowest polymorph: 0.569 eV per formula unit
* spin magnetization: 0.0 μB/f.u.

---

6.
Pm3MgGe6 | PBE | relaxed

abc: 7.736 7.736 7.736
angles: 98.36 98.36 98.36
Positions (direct):
Ge 0.589 0.515 0.873
Ge 0.127 0.411 0.485
Ge 0.911 0.627 0.985
Ge 0.373 0.015 0.089
Ge 0.627 0.985 0.911
Ge 0.873 0.589 0.515
Ge 0.485 0.127 0.411
Ge 0.015 0.089 0.373
Ge 0.985 0.911 0.627
Ge 0.515 0.873 0.589
Ge 0.411 0.485 0.127
Ge 0.089 0.373 0.015
Pm 0.814 0.250 0.686
Pm 0.750 0.314 0.186
Pm 0.250 0.686 0.814
Pm 0.186 0.750 0.314
Pm 0.314 0.186 0.750
Pm 0.686 0.814 0.250
Mg 0.000 0.000 0.000
Mg 0.500 0.500 0.500

Properties
* ΔE_f: -58 kJ/mol of atoms
* V: 446.7 Å³ per cell
* E_tot: -4.957 eV/atom
* spin magnetization: 0.0 μB/f.u.

---

7.
RbLaP2O8 | PBE | relaxed

abc: 5.747 5.747 8.327
angles: 90.00 90.00 120.00
Last column: magnetic moment on the atom in μB.
Positions (direct):
La 0.000 0.000 0.500  0.00
O 0.811 0.184 0.319  0.16
O 0.373 0.189 0.319  0.16
O 0.189 0.816 0.681  0.16
O 0.627 0.811 0.681  0.16
O 0.333 0.667 0.928  0.39
O 0.816 0.627 0.319  0.16
O 0.667 0.333 0.072  0.39
O 0.184 0.373 0.681  0.16
P 0.333 0.667 0.742  -0.02
P 0.667 0.333 0.258  -0.02
Rb 0.000 0.000 0.000  0.00

Properties
* V: 238.1 Å³ per cell
* E_tot: -6.982 eV/atom
* spin magnetization: 2.0 μB/f.u.

---

8.
Fe2PRu | PBE | relaxed

abc: 4.868 4.868 4.093
angles: 65.13 65.13 32.89
Last column: magnetic moment on the atom in μB.
Positions (direct):
Fe 0.999 0.999 0.001  2.00
Fe 0.211 0.211 0.289  0.61
Ru 0.783 0.783 0.716  0.09
P 0.507 0.507 0.494  -0.05

Properties
* ΔE_f: -12 kJ/mol of atoms
* V: 47.3 Å³ per cell
* E_tot: -8.022 eV/atom
* spin magnetization: 2.6 μB/f.u.

---

> The highest spin magnetization belongs to which entry?

Fe2PRu